VASP calculation (PBE) on Nd2YHoEr6 after structural relaxation.

```
Nd2YHoEr6
1.0
9.124 -2.147 -2.229
0.770 8.474 -2.032
0.770 -2.345 8.393
Nd Y Ho Er
4 2 2 12
direct
0.457 0.807 0.700
0.043 0.300 0.193
0.543 0.193 0.300
0.957 0.700 0.807
0.250 0.982 0.018
0.750 0.018 0.982
0.250 0.407 0.593
0.750 0.593 0.407
0.057 0.127 0.744
0.443 0.256 0.873
0.943 0.873 0.256
0.557 0.744 0.127
0.313 0.977 0.424
0.187 0.576 0.023
0.687 0.023 0.576
0.813 0.424 0.977
0.119 0.709 0.498
0.381 0.502 0.291
0.881 0.291 0.502
0.619 0.498 0.709
```

Computed properties:
**ρ**: 8.0 g/cm3
**Symmetry**: No. 15
**Energy of formation from the pure elements**: 115 meV per atom